Entry 1:
Here is MgPa2Re after structural relaxation from Alexandria via LeMat-Bulk. Energies are from PBE.

```
MgPa2Re
1.0
3.190 0.000 0.000
0.000 3.190 0.000
0.000 0.000 9.134
Mg Pa Re
1 2 1
Direct
0.000 0.000 0.000
0.500 0.500 0.294
0.500 0.500 0.706
0.000 0.000 0.500
```

Results
Crystal system   tetragonal
N(E_F)   6.26 states/eV/f.u.
Energy   -0.302 hartree per atom
E above lowest polymorph   0.0000 eV/atom
Calculated volume   93.0 Å³/cell

Entry 2:
Here is NdHoSc4 after structural relaxation from Alexandria via LeMat-Bulk. Energies are from PBE.

```
NdHoSc4
1.0
5.345 0.000 0.000
0.000 10.269 0.000
0.000 0.000 5.974
Nd Ho Sc
2 2 8
Direct
0.250 0.250 0.075
0.750 0.750 0.925
0.250 0.750 0.576
0.750 0.250 0.424
0.250 0.079 0.588
0.250 0.421 0.588
0.250 0.580 0.089
0.250 0.920 0.089
0.750 0.080 0.911
0.750 0.420 0.911
0.750 0.579 0.412
0.750 0.921 0.412
```

Results
Crystal system   orthorhombic
N(E_F)   12.11 states/eV/f.u.
Energy   -0.211 hartree per atom
E above lowest polymorph   0.0000 eV/atom
Calculated volume   327.9 Å³/cell

Looking at magnetic moment for the records above, in order, we have 0.0 0.0 μB/f.u..